First-principles (PBEsol) data for a geometry-optimized SrZrBr2 structure, as listed in Alexandria via LeMat-Bulk.

It has space group Immm (No. 71), with a = 3.503 Å, b = 6.445 Å, c = 9.670 Å, α = 90.00°, β = 90.00° and γ = 90.00°. The asymmetric unit holds Sr at (0.000, 0.000, 0.000), Zr at (0.000, 0.000, 0.500) and Br at (0.000, 0.500, 0.218).

As for the density: 5.2 g/cm3. The energy relative to the elements, uncorrected is -0.76 eV/atom. The total energy is -4.428 eV/atom. The value obtained for the magnetization is 0.01 Bohr magnetons per cell. The energy above the most stable polymorph in this dataset is 0.010 eV per atom.